w | Tb3Ga8Pd3 after structural relaxation, computed with GGA-PBE.

```
data_Tb3Ga8Pd3
_space_group_name_H-M_alt 'P 1'
_space_group_IT_number 1
_cell_length_a 8.1877
_cell_length_b 8.1877
_cell_length_c 8.1877
_cell_angle_alpha 149.86
_cell_angle_beta 106.56
_cell_angle_gamma 81.38
loop_
_space_group_symop_operation_xyz
'x,y,z'
loop_
_atom_site_label
_atom_site_type_symbol
_atom_site_fract_x
_atom_site_fract_y
_atom_site_fract_z
_atom_site_occupancy
Tb1 Tb 0.0000 0.0000 0.0000 1
Tb2 Tb 0.3155 0.3155 0.0000 1
Tb3 Tb 0.6845 0.6845 0.0000 1
Ga1 Ga 0.0355 0.6651 0.3704 1
Ga2 Ga 0.1519 0.8705 0.2814 1
Ga3 Ga 0.2947 0.6651 0.6296 1
Ga4 Ga 0.4108 0.1295 0.2814 1
Ga5 Ga 0.5892 0.8705 0.7186 1
Ga6 Ga 0.7053 0.3349 0.3704 1
Ga7 Ga 0.8481 0.1295 0.7186 1
Ga8 Ga 0.9645 0.3349 0.6296 1
Pd1 Pd 0.2876 0.5000 0.7876 1
Pd2 Pd 0.5000 0.0000 0.5000 1
Pd3 Pd 0.7124 0.5000 0.2124 1
```

x | Tb3Ga8Pd3 after structural relaxation, computed with GGA-PBE.

```
data_Tb3Ga8Pd3
_space_group_name_H-M_alt 'P 1'
_space_group_IT_number 1
_cell_length_a 8.1407
_cell_length_b 8.1407
_cell_length_c 9.4460
_cell_angle_alpha 124.53
_cell_angle_beta 124.53
_cell_angle_gamma 30.93
loop_
_space_group_symop_operation_xyz
'x,y,z'
loop_
_atom_site_label
_atom_site_type_symbol
_atom_site_fract_x
_atom_site_fract_y
_atom_site_fract_z
_atom_site_occupancy
Tb1 Tb 0.0000 0.0000 0.0000 1
Tb2 Tb 0.2937 0.2937 0.2944 1
Tb3 Tb 0.7063 0.7063 0.7056 1
Ga1 Ga 0.1418 0.1418 0.4285 1
Ga2 Ga 0.1481 0.1481 0.8659 1
Ga3 Ga 0.3461 0.3461 0.7179 1
Ga4 Ga 0.4978 0.4978 0.3212 1
Ga5 Ga 0.5022 0.5022 0.6788 1
Ga6 Ga 0.6539 0.6539 0.2821 1
Ga7 Ga 0.8519 0.8519 0.1341 1
Ga8 Ga 0.8582 0.8582 0.5715 1
Pd1 Pd 0.0000 0.0000 0.5000 1
Pd2 Pd 0.3511 0.3511 0.9905 1
Pd3 Pd 0.6489 0.6489 0.0095 1
```

The structures above, arranged from the most stable to the least stable: w, x.